Here is VHg3P after structural relaxation from Alexandria via LeMat-Bulk. Energies are from GGA-PBE.

The structure belongs to space group Pm-3m (No. 221); the cell edges are 5.127, 5.127 and 5.127 Å and the angles 90.00°, 90.00° and 90.00°. Symmetry generates all atoms from V at (0.000, 0.000, 0.000), Hg at (0.000, 0.500, 0.500) and P at (0.500, 0.500, 0.500).

The total magnetic moment comes out at 3.72 μB per cell. The volume is 26.95 A^3/atom. The crystal system is cubic. The value obtained for the theoretical density is 8.43 g/cm³. The calculation puts the energy above the most stable polymorph in this dataset at 0 meV/atom. The energy of formation is 0.89 eV per atom.